AlCoGeOs2: relaxed, PBE-GGA.

Structure (extended XYZ):
```
5
Lattice="-0.8458 4.3606 -0.4502 -1.9002 0.0567 4.1194 3.9649 0.9565 1.8158" Properties=species:S:1:pos:R:3 pbc="T T T"
Co 0.6095 2.6869 2.7425
Ge -0.9501 0.0284 2.0597
Os 1.9825 0.4782 0.9079
Os -0.4229 2.1803 -0.2251
Al 0.0000 0.0000 0.0000
```

Energy relative to the elements = 173.2 kJ/mol of atoms
Symmetry = P4/mmm, No. 123
Mass density = 9.90 g/cm3
Uncorrected energy = -5.79 eV/atom
D(E_F) = 8.52 states/eV/f.u.

=====

PaAl2Co4Ge: relaxed, PBE-GGA.

Structure (extended XYZ):
```
8
Lattice="-0.9570 -3.5989 -1.4078 2.5618 -3.0256 0.3640 -2.7415 -4.1249 6.7793" Properties=species:S:1:pos:R:3 pbc="T T T"
Pa 0.0000 0.0000 0.0000
Al -0.7514 -8.0028 4.0816
Al -0.3854 -2.7465 1.6540
Co -1.5526 -5.9505 5.0088
Co 0.2947 -7.3909 1.8062
Co -1.4314 -3.3584 3.9294
Co 0.4159 -4.7989 0.7268
Ge -0.5684 -5.3747 2.8678
```

Energy relative to the elements = -38.1 kJ/mol of atoms
Symmetry = R-3m, No. 166
Mass density = 8.89 g/cm3
Uncorrected energy = -6.65 eV/atom
D(E_F) = 5.25 states/eV/f.u.

=====

PaAl2Co2Ge: relaxed, PBE-GGA.

Structure (extended XYZ):
```
6
Lattice="4.3266 0.0000 0.0000 0.0000 4.3266 0.0000 0.0000 0.0000 5.5774" Properties=species:S:1:pos:R:3 pbc="T T T"
Pa 0.0000 0.0000 2.7887
Al 2.1633 2.1633 4.1536
Al 2.1633 2.1633 1.4238
Co 2.1633 0.0000 0.0000
Co 0.0000 2.1633 0.0000
Ge 0.0000 0.0000 0.0000
```

Energy relative to the elements = -6.6 kJ/mol of atoms
Symmetry = P4/mmm, No. 123
Mass density = 7.56 g/cm3
Uncorrected energy = -6.04 eV/atom
D(E_F) = 9.81 states/eV/f.u.